Compound: DyN
Source: Alexandria
Functional: PBEsol
Structure: relaxed

It has space group Fm-3m (No. 225), with a = 4.853 Å, b = 4.853 Å, c = 4.853 Å, α = 90.00°, β = 90.00° and γ = 90.00°. The inequivalent atoms are Dy at (0.000, 0.000, 0.000) and N at (0.000, 0.000, 0.500).

For the theoretical density, the calculation gives 10.3 Mg/m³. Its magnetic moment is 0.00 Bohr magnetons per cell. As for the formation energy from raw total energies: -1879 meV/atom.